1.
Below is Zr12Tl3Pt after structural relaxation, with properties calculated at the PBE-GGA level.

Unit cell a=4.457 b=4.457 c=17.746 alpha=90.00 beta=90.00 gamma=90.00
Space group P4/mmm (No. 123)
Unique sites:
Zr: 0.000 0.000 0.000 [1 per cell]
Zr: 0.000 0.000 0.244 [2 per cell]
Zr: 0.000 0.000 0.500 [1 per cell]
Zr: 0.000 0.500 0.117 [4 per cell]
Zr: 0.000 0.500 0.373 [4 per cell]
Tl: 0.500 0.500 0.244 [2 per cell]
Tl: 0.500 0.500 0.500 [1 per cell]
Pt: 0.500 0.500 0.000 [1 per cell]

Properties
- Formation energy from the elements: -3.00 eV/f.u.
- Magnetic moment: 0.0 μB/f.u.



2.
Below is TmPt2 after structural relaxation, with properties calculated at the PBE-GGA level.

Unit cell a=5.013 b=5.013 c=5.153 alpha=90.00 beta=118.97 gamma=90.00
Space group C2/m (No. 12)
Unique sites:
Tm: 0.000 0.000 0.000 [2 per cell]
Pt: 0.164 0.500 0.329 [4 per cell]

Properties
- Formation energy from the elements: -2.83 eV/f.u.
- Magnetic moment: 0.0 μB/f.u.



What is the formula in the first record? Zr12Tl3Pt



Look up the magnetic moment of the first one. 0.0 μB/f.u.